A plane-wave DFT calculation with GGA+U was carried out for NaHoCo2F8 after structural relaxation.

crystal system: triclinic
VASP energy: -5.4706 eV per atom

Lattice parameters (Å, degrees): 4.9936 4.9958 6.6632 89.94 89.93 89.42
Fractional coordinates of all 12 atoms:
Na  0.0000  0.0000  0.0000
Ho  0.0000  0.0000  0.5000
Co  0.5002  0.5002  0.2387
Co  0.4998  0.4998  0.7613
F  0.2118  0.7899  0.2635
F  0.2117  0.7897  0.7364
F  0.3112  0.3128  0.5002
F  0.3185  0.3201  0.0005
F  0.6815  0.6799  0.9995
F  0.6888  0.6872  0.4998
F  0.7883  0.2103  0.2636
F  0.7882  0.2101  0.7365